CeInGaSb, relaxed, DFT PBE; calculated density = 7.6 g/cm3; formation energy without anion corrections = -0.540 eV/atom; crystal system = orthorhombic
1.0
4.393 0.000 0.000
0.000 4.675 0.000
0.000 0.000 4.773
Ce Ga Sb In
1 1 1 1
direct
0.500 0.000 0.500
0.000 0.000 0.000
0.000 0.500 0.500
0.500 0.500 0.000



ScOsCl2, relaxed, DFT PBE; calculated density = 5.4 g/cm3; formation energy without anion corrections = 0.025 eV/atom; relative energy among the computed polymorphs = 571.8 meV per atom; crystal system = tetragonal
1.0
-2.965 -0.256 0.173
-0.063 -1.131 -2.758
1.073 -9.739 3.968
Sc Os Cl
1 1 2
direct
0.500 0.500 0.750
0.500 0.500 0.250
0.000 0.000 0.602
0.000 0.000 0.898



Be3GeI, relaxed, DFT PBE; calculated density = 3.6 g/cm3; formation energy without anion corrections = 1.717 eV/atom; relative energy among the computed polymorphs = 951.1 meV per atom; crystal system = cubic
1.0
4.715 0.000 0.000
0.000 4.715 0.000
0.000 0.000 4.715
Be Ge I
3 1 1
direct
0.000 0.000 0.500
0.500 0.000 0.000
0.000 0.500 0.000
0.500 0.500 0.500
0.000 0.000 0.000



HgPtSe4, relaxed, DFT PBE; calculated density = 9.1 g/cm3; formation energy without anion corrections = 0.772 eV/atom; crystal system = cubic
1.0
0.000 4.013 4.013
4.013 0.000 4.013
4.013 4.013 0.000
Se Pt Hg
4 1 1
direct
0.374 0.374 0.374
0.878 0.374 0.374
0.374 0.374 0.878
0.374 0.878 0.374
0.000 0.000 0.000
0.750 0.750 0.750



Er4PdC2, relaxed, DFT PBE; DFT formation energy = -0.436 eV/atom; calculated density = 9.6 g/cm3; crystal system = orthorhombic
1.0
3.623 0.000 0.000
-1.811 6.029 0.000
0.000 0.000 12.610
Er Pd C
8 2 4
direct
0.931 0.861 0.750
0.233 0.467 0.607
0.500 0.000 0.000
0.500 0.000 0.500
0.233 0.467 0.893
0.069 0.139 0.250
0.767 0.533 0.393
0.767 0.533 0.107
0.612 0.223 0.750
0.388 0.777 0.250
0.865 0.729 0.561
0.135 0.271 0.439
0.865 0.729 0.939
0.135 0.271 0.061



LuS2I, relaxed, DFT PBE; calculated density = 5.5 g/cm3; formation energy without anion corrections = -0.851 eV/atom; crystal system = trigonal
1.0
3.849 0.000 0.000
1.924 3.333 0.000
1.924 1.111 8.653
Lu S I
1 2 1
direct
0.000 0.000 0.000
0.278 0.278 0.166
0.722 0.722 0.834
0.500 0.500 0.500



Sm2YThSc4, relaxed, DFT PBE; DFT formation energy = 0.047 eV/atom; calculated density = 5.8 g/cm3; crystal system = tetragonal
1.0
5.004 0.000 0.000
0.000 4.894 1.078
0.000 2.938 9.956
Sm Y Th Sc
2 1 1 4
direct
0.000 0.000 0.000
0.500 0.000 0.500
0.500 0.500 0.000
0.000 0.500 0.500
0.000 0.246 0.254
0.500 0.746 0.254
0.500 0.254 0.746
0.000 0.754 0.746



TiTcW, relaxed, DFT PBE; DFT formation energy = -0.276 eV/atom; calculated density = 11.8 g/cm3; relative energy among the computed polymorphs = 97.2 meV per atom; crystal system = monoclinic
1.0
5.386 0.000 -0.001
0.000 4.417 0.000
-5.353 0.000 7.801
Tc W Ti
4 4 4
direct
0.503 0.500 0.249
0.999 0.000 0.086
0.503 0.000 0.749
0.999 0.500 0.586
0.501 0.000 0.084
0.491 0.000 0.412
0.491 0.500 0.912
0.501 0.500 0.584
0.998 0.500 0.245
0.008 0.000 0.427
0.998 0.000 0.745
0.008 0.500 0.927



TmZrU, relaxed, DFT PBE; DFT formation energy = 0.624 eV/atom; calculated density = 10.4 g/cm3; relative energy among the computed polymorphs = 320.1 meV per atom; crystal system = trigonal
1.0
5.234 0.000 0.000
2.617 4.533 0.000
2.617 1.511 6.713
Tm Zr U
2 2 2
direct
0.124 0.124 0.628
0.876 0.876 0.372
0.428 0.428 0.716
0.572 0.572 0.284
0.698 0.698 0.906
0.302 0.302 0.094



MnBeReIr, relaxed, DFT PBE; DFT formation energy = -0.136 eV/atom; calculated density = 14.7 g/cm3; crystal system = cubic
1.0
-2.166 0.356 -3.499
-2.719 -2.927 -1.052
-4.051 0.794 0.151
Ir Re Mn Be
1 1 1 1
direct
0.250 0.250 0.250
0.750 0.750 0.750
0.000 0.000 0.000
0.500 0.500 0.500



SrPr2Tl2Ag2, relaxed, DFT PBE; DFT formation energy = -0.224 eV/atom; calculated density = 7.8 g/cm3; crystal system = trigonal
1.0
5.019 0.000 0.000
2.509 4.346 0.000
2.509 1.449 9.710
Ag Sr Tl Pr
2 1 2 2
direct
0.592 0.592 0.223
0.408 0.408 0.777
0.000 0.000 0.000
0.255 0.255 0.236
0.745 0.745 0.764
0.127 0.127 0.620
0.873 0.873 0.380



CaPbSe, relaxed, DFT PBE; calculated density = 5.6 g/cm3; formation energy without anion corrections = -0.923 eV/atom; relative energy among the computed polymorphs = 65.7 meV per atom; crystal system = tetragonal
1.0
-3.733 -4.141 3.845
-0.673 -2.977 6.047
-2.405 2.279 2.142
Ca Pb Se
1 1 1
direct
0.042 0.042 0.958
0.360 0.360 0.640
0.598 0.598 0.402



no.,DOS at the Fermi energy (states/eV/f.u.)
1,5.12
2,3.77
3,3.84
4,4.23
5,6.27
6,5.54
7,11.23
8,1.56
9,6.80
10,3.77
11,4.87
12,1.18